Record 1
# Ag3Pt2, optimized geometry, DFT PBE
# * mass density: 14102 kg/m³
# * energy relative to the elements: 0.01 eV per atom
# * distance to the lowest polymorph of the same formula: 0.311 eV per formula unit
data_Ag3Pt2
_chemical_formula_sum 'Ag6 Pt4'
_space_group_name_H-M_alt 'P 1'
_space_group_IT_number 1
_space_group_name_Hall 'P 1'
_cell_length_a 7.030
_cell_length_b 2.824
_cell_length_c 8.801
_cell_angle_alpha 90.00
_cell_angle_beta 105.87
_cell_angle_gamma 90.00
loop_
_atom_site_label
_atom_site_type_symbol
_atom_site_fract_x
_atom_site_fract_y
_atom_site_fract_z
Ag1 Ag 0.089 0.000 0.298
Ag2 Ag 0.299 0.000 0.897
Ag3 Ag 0.397 0.500 0.201
Ag4 Ag 0.603 0.500 0.799
Ag5 Ag 0.701 0.000 0.103
Ag6 Ag 0.911 0.000 0.702
Pt1 Pt 0.000 0.500 0.000
Pt2 Pt 0.210 0.500 0.590
Pt3 Pt 0.500 0.000 0.500
Pt4 Pt 0.790 0.500 0.410

Record 2
# Ag5Pt6, optimized geometry, DFT PBE
# * mass density: 15647 kg/m³
# * energy relative to the elements: 0.04 eV per atom
# * distance to the lowest polymorph of the same formula: 0.476 eV per formula unit
data_Ag5Pt6
_chemical_formula_sum 'Ag5 Pt6'
_space_group_name_H-M_alt 'P 1'
_space_group_IT_number 1
_space_group_name_Hall 'P 1'
_cell_length_a 4.988
_cell_length_b 6.374
_cell_length_c 6.385
_cell_angle_alpha 108.02
_cell_angle_beta 97.51
_cell_angle_gamma 105.03
loop_
_atom_site_label
_atom_site_type_symbol
_atom_site_fract_x
_atom_site_fract_y
_atom_site_fract_z
Ag1 Ag 0.000 0.000 0.000
Ag2 Ag 0.088 0.364 0.821
Ag3 Ag 0.269 0.095 0.460
Ag4 Ag 0.637 0.547 0.730
Ag5 Ag 0.907 0.635 0.186
Pt1 Pt 0.184 0.728 0.640
Pt2 Pt 0.368 0.461 0.275
Pt3 Pt 0.459 0.822 0.098
Pt4 Pt 0.539 0.169 0.917
Pt5 Pt 0.712 0.913 0.542
Pt6 Pt 0.820 0.277 0.364

Record 3
# Ag2Pt3, optimized geometry, DFT PBE
# * mass density: 16331 kg/m³
# * energy relative to the elements: -0.02 eV per atom
# * distance to the lowest polymorph of the same formula: 0.120 eV per formula unit
data_Ag2Pt3
_chemical_formula_sum 'Ag4 Pt6'
_space_group_name_H-M_alt 'P 1'
_space_group_IT_number 1
_space_group_name_Hall 'P 1'
_cell_length_a 11.907
_cell_length_b 11.907
_cell_length_c 4.929
_cell_angle_alpha 93.99
_cell_angle_beta 93.99
_cell_angle_gamma 13.51
loop_
_atom_site_label
_atom_site_type_symbol
_atom_site_fract_x
_atom_site_fract_y
_atom_site_fract_z
Ag1 Ag 0.000 0.000 0.000
Ag2 Ag 0.202 0.202 0.403
Ag3 Ag 0.502 0.502 0.505
Ag4 Ag 0.900 0.900 0.302
Pt1 Pt 0.104 0.104 0.702
Pt2 Pt 0.298 0.298 0.095
Pt3 Pt 0.399 0.399 0.802
Pt4 Pt 0.601 0.601 0.199
Pt5 Pt 0.700 0.700 0.902
Pt6 Pt 0.802 0.802 0.604

Q: The lowest mass density belongs to which entry?
A: Ag3Pt2

Q: The highest distance to the lowest polymorph of the same formula belongs to which entry?
A: Ag5Pt6

Q: Among the records above, which one has the highest distance to the lowest polymorph of the same formula?
A: Ag5Pt6

Please write out number 1 again, unchanged.
# Ag3Pt2, optimized geometry, DFT PBE
# * mass density: 14102 kg/m³
# * energy relative to the elements: 0.01 eV per atom
# * distance to the lowest polymorph of the same formula: 0.311 eV per formula unit
data_Ag3Pt2
_chemical_formula_sum 'Ag6 Pt4'
_space_group_name_H-M_alt 'P 1'
_space_group_IT_number 1
_space_group_name_Hall 'P 1'
_cell_length_a 7.030
_cell_length_b 2.824
_cell_length_c 8.801
_cell_angle_alpha 90.00
_cell_angle_beta 105.87
_cell_angle_gamma 90.00
loop_
_atom_site_label
_atom_site_type_symbol
_atom_site_fract_x
_atom_site_fract_y
_atom_site_fract_z
Ag1 Ag 0.089 0.000 0.298
Ag2 Ag 0.299 0.000 0.897
Ag3 Ag 0.397 0.500 0.201
Ag4 Ag 0.603 0.500 0.799
Ag5 Ag 0.701 0.000 0.103
Ag6 Ag 0.911 0.000 0.702
Pt1 Pt 0.000 0.500 0.000
Pt2 Pt 0.210 0.500 0.590
Pt3 Pt 0.500 0.000 0.500
Pt4 Pt 0.790 0.500 0.410